1.
{
  "formula": "Pr2ErSe2S2",
  "functional": "GGA-PBE",
  "state": "relaxed",
  "lattice": [[5.034, 0.000, 0.000], [0.000, 5.034, 0.000], [-2.517, -2.517, 7.552]],
  "species": ["S", "S", "Er", "Pr", "Pr", "Se", "Se"],
  "fractional_positions": [[0.000, 0.500, 0.000], [0.500, 0.000, 0.000], [0.000, 0.000, 0.000], [0.625, 0.625, 0.250], [0.375, 0.375, 0.750], [0.816, 0.816, 0.632], [0.184, 0.184, 0.368]],
  "space_group": "I4/mmm, No. 139",
  "final_energy_ev_per_atom": -5.867,
  "crystal_system": "tetragonal",
  "m_tot_mub_per_fu": 0.00,
  "formation_energy_uncorrected_ev_per_fu": -11.72,
  "volume_a3_per_cell": 191.40
}

---

2.
{
  "formula": "AsPRhAu2",
  "functional": "GGA-PBE",
  "state": "relaxed",
  "lattice": [[-1.507, -0.730, -2.489], [2.952, -0.539, -0.397], [-1.278, -9.349, 4.400]],
  "species": ["Rh", "P", "As", "Au", "Au"],
  "fractional_positions": [[0.224, 0.980, 0.995], [0.549, 0.589, 0.860], [0.656, 0.651, 0.187], [0.821, 0.127, 0.417], [0.504, 0.531, 0.632]],
  "space_group": "P1, No. 1",
  "polymorph_energy_mev_per_atom": 24,
  "final_energy_ev_per_atom": -4.896,
  "crystal_system": "triclinic",
  "m_tot_mub_per_fu": 0.00,
  "volume_a3_per_cell": 88.67
}

---

3.
{
  "formula": "Pd3WC",
  "functional": "GGA-PBE",
  "state": "relaxed",
  "lattice": [[-1.887, 2.870, -2.367], [-2.457, -2.954, -1.624], [-2.793, 0.660, 3.027]],
  "species": ["Pd", "Pd", "Pd", "C", "W"],
  "fractional_positions": [[0.500, 0.000, 0.000], [0.000, 0.500, 0.000], [0.000, 0.000, 0.500], [0.000, 0.000, 0.000], [0.500, 0.500, 0.500]],
  "space_group": "Pm-3m, No. 221",
  "polymorph_energy_mev_per_atom": 0,
  "final_energy_ev_per_atom": -6.692,
  "crystal_system": "cubic",
  "m_tot_mub_per_fu": 3.02,
  "volume_a3_per_cell": 72.59
}

---

4.
{
  "formula": "Pm4TlPd",
  "functional": "GGA-PBE",
  "state": "relaxed",
  "lattice": [[-4.383, 2.891, 2.876], [-1.533, -8.427, 0.923], [6.858, 2.716, 4.096]],
  "species": ["Tl", "Tl", "Pm", "Pm", "Pm", "Pm", "Pm", "Pm", "Pm", "Pm", "Pd", "Pd"],
  "fractional_positions": [[0.367, 0.617, 0.235], [0.633, 0.383, 0.765], [0.230, 0.303, 0.379], [0.704, 0.356, 0.153], [0.770, 0.697, 0.621], [0.051, 0.203, 0.847], [0.949, 0.797, 0.153], [0.351, 0.925, 0.621], [0.649, 0.075, 0.379], [0.296, 0.644, 0.847], [0.749, 0.999, 0.997], [0.251, 0.001, 0.003]],
  "space_group": "C2/c, No. 15",
  "polymorph_energy_mev_per_atom": 67,
  "final_energy_ev_per_atom": -4.778,
  "crystal_system": "monoclinic",
  "m_tot_mub_per_fu": 0.00,
  "volume_a3_per_cell": 352.98
}

---

5.
{
  "formula": "NaPu2InO8",
  "functional": "GGA-PBE",
  "state": "relaxed",
  "lattice": [[5.938, 0.000, 0.000], [-2.969, 5.142, 0.000], [0.000, 0.000, 6.445]],
  "species": ["O", "O", "O", "O", "O", "O", "O", "O", "Pu", "Pu", "In", "Na"],
  "fractional_positions": [[0.615, 0.675, 0.135], [0.385, 0.325, 0.865], [0.675, 0.060, 0.865], [0.325, 0.940, 0.135], [0.667, 0.333, 0.349], [0.940, 0.615, 0.865], [0.333, 0.667, 0.651], [0.060, 0.385, 0.135], [0.667, 0.333, 0.061], [0.333, 0.667, 0.939], [0.000, 0.000, 0.500], [0.000, 0.000, 0.000]],
  "space_group": "P-3, No. 147",
  "final_energy_ev_per_atom": -7.794,
  "crystal_system": "trigonal",
  "m_tot_mub_per_fu": 2.00,
  "formation_energy_uncorrected_ev_per_fu": -21.15,
  "volume_a3_per_cell": 196.77
}

---

6.
{
  "formula": "RbSi2Br",
  "functional": "GGA-PBE",
  "state": "relaxed",
  "lattice": [[4.757, 0.000, 0.000], [0.000, 4.757, 0.000], [2.379, 2.379, 11.529]],
  "species": ["Si", "Si", "Si", "Si", "Br", "Br", "Rb", "Rb"],
  "fractional_positions": [[0.375, 0.638, 0.750], [0.388, 0.625, 0.250], [0.875, 0.612, 0.750], [0.362, 0.125, 0.250], [0.250, 0.750, 0.500], [0.500, 0.500, 0.000], [0.750, 0.250, 0.500], [0.000, 0.000, 0.000]],
  "space_group": "I-42d, No. 122",
  "polymorph_energy_mev_per_atom": 0,
  "final_energy_ev_per_atom": -3.258,
  "crystal_system": "tetragonal",
  "m_tot_mub_per_fu": 0.00,
  "formation_energy_uncorrected_ev_per_fu": 0.45,
  "volume_a3_per_cell": 260.92
}

---

7.
{
  "formula": "KTe2OsO8",
  "functional": "GGA-PBE",
  "state": "relaxed",
  "lattice": [[0.268, -3.685, 4.776], [2.738, -3.276, -2.565], [5.609, 2.265, 4.219]],
  "species": ["O", "O", "O", "O", "O", "O", "O", "O", "K", "Te", "Te", "Os"],
  "fractional_positions": [[0.865, 0.260, 0.233], [0.738, 0.764, 0.083], [0.135, 0.740, 0.767], [0.634, 0.705, 0.477], [0.161, 0.830, 0.126], [0.366, 0.295, 0.523], [0.262, 0.236, 0.917], [0.839, 0.170, 0.874], [0.000, 0.000, 0.500], [0.406, 0.503, 0.736], [0.594, 0.497, 0.264], [0.000, 0.000, 0.000]],
  "space_group": "P-1, No. 2",
  "final_energy_ev_per_atom": -5.927,
  "crystal_system": "triclinic",
  "m_tot_mub_per_fu": 1.02,
  "formation_energy_uncorrected_ev_per_fu": -12.84,
  "volume_a3_per_cell": 210.82
}

---

8.
{
  "formula": "Ho5InHg",
  "functional": "GGA-PBE",
  "state": "relaxed",
  "lattice": [[-4.582, 1.020, 3.792], [-3.833, -1.217, -4.498], [2.696, -10.615, 3.108]],
  "species": ["Ho", "Ho", "Ho", "Ho", "Ho", "Ho", "Ho", "Ho", "Ho", "Ho", "In", "In", "Hg", "Hg"],
  "fractional_positions": [[0.563, 0.017, 0.652], [0.983, 0.437, 0.848], [0.238, 0.526, 0.464], [0.437, 0.983, 0.348], [0.762, 0.474, 0.536], [0.102, 0.898, 0.750], [0.017, 0.563, 0.152], [0.526, 0.238, 0.964], [0.474, 0.762, 0.036], [0.898, 0.102, 0.250], [0.537, 0.463, 0.250], [0.463, 0.537, 0.750], [0.000, 0.000, 0.500], [0.000, 0.000, 0.000]],
  "space_group": "C2/c, No. 15",
  "final_energy_ev_per_atom": -3.821,
  "crystal_system": "monoclinic",
  "m_tot_mub_per_fu": 0.00,
  "volume_a3_per_cell": 402.61
}

---

9.
{
  "formula": "HoTm4Tl4",
  "functional": "GGA-PBE",
  "state": "relaxed",
  "lattice": [[-3.326, 5.725, -2.997], [-6.439, -3.219, 0.998], [-0.769, 4.421, 9.298]],
  "species": ["Tl", "Tl", "Tl", "Tl", "Tl", "Tl", "Tl", "Tl", "Tm", "Tm", "Tm", "Tm", "Tm", "Tm", "Tm", "Tm", "Ho", "Ho"],
  "fractional_positions": [[0.227, 0.500, 0.218], [0.727, 0.000, 0.282], [0.000, 0.273, 0.718], [0.500, 0.227, 0.782], [0.500, 0.773, 0.782], [0.273, 0.000, 0.282], [0.773, 0.500, 0.218], [0.000, 0.727, 0.718], [0.500, 0.228, 0.085], [0.272, 0.000, 0.585], [0.000, 0.728, 0.415], [0.500, 0.772, 0.085], [0.228, 0.500, 0.915], [0.772, 0.500, 0.915], [0.728, 0.000, 0.585], [0.000, 0.272, 0.415], [0.500, 0.500, 0.500], [0.000, 0.000, 0.000]],
  "space_group": "P4_2/nmc, No. 137",
  "final_energy_ev_per_atom": -3.580,
  "crystal_system": "tetragonal",
  "m_tot_mub_per_fu": 0.00,
  "volume_a3_per_cell": 545.32
}

---

10.
{
  "formula": "Tb5Sm4Y",
  "functional": "GGA-PBE",
  "state": "relaxed",
  "lattice": [[-1.833, 2.707, -5.007], [4.049, -2.665, -6.494], [-6.088, -4.027, -3.520]],
  "species": ["Sm", "Sm", "Sm", "Sm", "Tb", "Tb", "Tb", "Tb", "Tb", "Y"],
  "fractional_positions": [[0.126, 0.324, 0.324], [0.450, 0.324, 0.676], [0.451, 0.676, 0.324], [0.775, 0.676, 0.676], [0.760, 0.000, 0.379], [0.139, 0.000, 0.621], [0.761, 0.379, 0.000], [0.139, 0.621, 0.000], [0.691, 0.000, 0.000], [0.219, 0.000, 0.000]],
  "space_group": "I4mm, No. 107",
  "polymorph_energy_mev_per_atom": 68,
  "final_energy_ev_per_atom": -4.597,
  "crystal_system": "tetragonal",
  "m_tot_mub_per_fu": 0.00,
  "volume_a3_per_cell": 339.25
}

---

11.
{
  "formula": "Tc2TeOs",
  "functional": "GGA-PBE",
  "state": "relaxed",
  "lattice": [[-0.611, -2.485, 3.158], [-2.122, -1.337, -1.463], [2.322, -4.444, -3.048]],
  "species": ["Te", "Os", "Tc", "Tc"],
  "fractional_positions": [[0.500, 0.250, 0.250], [0.500, 0.750, 0.750], [0.000, 0.110, 0.975], [0.000, 0.390, 0.525]],
  "space_group": "P2/m, No. 10",
  "polymorph_energy_mev_per_atom": 77,
  "final_energy_ev_per_atom": -8.279,
  "crystal_system": "monoclinic",
  "m_tot_mub_per_fu": 0.00,
  "formation_energy_uncorrected_ev_per_fu": 1.99,
  "volume_a3_per_cell": 65.59
}

---

12.
{
  "formula": "V2BHAu",
  "functional": "GGA-PBE",
  "state": "relaxed",
  "lattice": [[4.315, 0.000, 0.000], [0.000, 4.315, 0.000], [0.000, 0.000, 3.164]],
  "species": ["V", "V", "Au", "B", "H"],
  "fractional_positions": [[0.000, 0.500, 0.000], [0.500, 0.000, 0.000], [0.500, 0.500, 0.500], [0.000, 0.000, 0.000], [0.000, 0.000, 0.500]],
  "space_group": "P4/mmm, No. 123",
  "final_energy_ev_per_atom": -5.807,
  "crystal_system": "tetragonal",
  "m_tot_mub_per_fu": 1.21,
  "volume_a3_per_cell": 58.89
}